Below is Zn2TeRu after structural relaxation, with properties calculated at the GGA-PBE level.

Summary:
energy relative to the elements, uncorrected: 0.8 eV/f.u.
magnetic moment: 0.0 μB/f.u.
total DFT energy (no corrections): -3.5301 eV per atom
symmetry: P4/mmm, No. 123

```
Zn2TeRu
1.0
3.0073 0.0000 0.0000
0.0000 3.0073 0.0000
0.0000 0.0000 9.0529
Zn Te Ru
2 1 1
direct
0.0000 0.0000 0.1650 Zn
0.0000 0.0000 0.8350 Zn
0.5000 0.5000 0.5000 Te
0.5000 0.5000 0.0000 Ru
```